Entry from Alexandria: FeRhAu2 after structural relaxation (GGA-PBE).

Cell and atoms, written as CIF:
```
data_FeRhAu2
_chemical_formula_sum 'Fe2 Rh2 Au4'
_cell_length_a 3.925
_cell_length_b 3.925
_cell_length_c 8.201
_cell_angle_alpha 90.00
_cell_angle_beta 90.00
_cell_angle_gamma 90.00
_space_group_name_H-M_alt 'I 4/m m m'
_space_group_IT_number 139
_space_group_name_Hall '-I 4 2'
loop_
_atom_site_label
_atom_site_fract_x
_atom_site_fract_y
_atom_site_fract_z
_atom_site_occupancy
Fe1 0.000 0.000 0.000 1
Rh1 0.000 0.000 0.500 1
Au1 0.000 0.500 0.250 1
```

Properties
Offset from the most stable computed form: 0.0818 eV/atom
Magnetization: 7.876 Bohr magnetons per cell
ΔE_f: 0.126 eV/atom